No. 1
Entry from Alexandria via LeMat-Bulk: Ce2AsI3 after structural relaxation (PBE).

Lattice parameters (Å, degrees): 4.7169 9.4237 11.6791 101.54 101.65 104.49
Closest atoms and distances in Å follow each position.
Space group P-1 (No. 2)
Unique sites:
Ce 0.1526 0.2512 0.0537  2 As 2.86-2.87
Ce 0.3355 0.9759 0.6935  2 As 2.87
As 0.0789 0.9996 0.1594  4 Ce 2.86-2.87
I 0.1902 0.6374 0.7429  3 Ce 3.28
I 0.3531 0.1961 0.5103  3 Ce 3.26-3.40
I 0.3853 0.6547 0.1162  4 Ce 3.31-3.56

- V: 475 Å³ per cell
- Total magnetization: 2.00 μB/f.u.
- E_form (uncorrected): -1266 meV per atom



No. 2
Entry from Alexandria via LeMat-Bulk: CeAsIO4 after structural relaxation (PBE).

Lattice parameters (Å, degrees): 11.0126 7.0923 6.8296 90.00 103.76 90.00
Closest atoms and distances in Å follow each position.
Space group C2/m (No. 12)
Unique sites:
Ce 0.2348 0.0000 0.3451  4 O 2.20-2.38
As 0.1338 0.0000 0.7613  4 O 1.70-1.74
I 0.0116 0.5000 0.2499  2 Ce 3.26-3.43, 2 I 3.36-3.49, 7 O 3.38-3.55
O 0.0249 0.0000 0.2827  1 As 1.70
O 0.1921 0.1836 0.6408  1 As 1.74
O 0.2004 0.0000 0.0136  1 As 1.70

- V: 518 Å³ per cell
- Total magnetization: 0.31 μB/f.u.
- E_form (uncorrected): -1907 meV per atom



No. 3
Entry from Alexandria via LeMat-Bulk: Ce6As2P3I after structural relaxation (PBE).

Lattice parameters (Å, degrees): 18.3608 4.1785 8.4618 90.00 103.90 90.00
Closest atoms and distances in Å follow each position.
Space group C2/m (No. 12)
Unique sites:
Ce 0.0016 0.0000 0.2232  3 P 2.81-2.90, 1 As 3.01, 2 I 3.14
Ce 0.1650 0.5000 0.0875  3 P 2.94, 3 As 3.00-3.01
Ce 0.1765 0.5000 0.5822  3 P 2.84-2.94, 2 As 3.01, 1 I 3.15
As 0.1667 0.0000 0.8319  6 Ce 3.00-3.01
P 0.0000 0.5000 0.0000  6 Ce 2.81-2.94
P 0.1641 0.0000 0.3322  6 Ce 2.84-2.94
I 0.0000 0.5000 0.5000  6 Ce 3.14-3.15

- V: 630 Å³ per cell
- Total magnetization: 4.70 μB/f.u.
- E_form (uncorrected): -1380 meV per atom



No. 4
Entry from Alexandria via LeMat-Bulk: CePrAsI after structural relaxation (PBE).

Lattice parameters (Å, degrees): 4.2519 4.2519 23.6158 90.00 90.00 120.00
Closest atoms and distances in Å follow each position.
Space group R3m (No. 160, hexagonal axes)
Unique sites:
Ce 0.0000 0.0000 0.0000  3 As 2.91
Pr 0.0000 0.0000 0.1972  3 As 2.96
As 0.0000 0.0000 0.6007  3 Ce 2.91, 3 Pr 2.96
I 0.0000 0.0000 0.4307  3 Ce 3.36, 3 Pr 3.40

- V: 370 Å³ per cell
- Total magnetization: 1.05 μB/f.u.
- E_form (uncorrected): -1237 meV per atom



No. 5
Entry from Alexandria via LeMat-Bulk: CeAsS4I after structural relaxation (PBE).

Lattice parameters (Å, degrees): 11.5964 8.8201 8.0512 90.00 103.61 90.00
Closest atoms and distances in Å follow each position.
Space group C2/m (No. 12)
Unique sites:
Ce 0.2271 0.0000 0.1281  6 S 2.72-2.91
As 0.1351 0.5000 0.2728  4 S 2.18-2.27
S 0.0447 0.5000 0.6863  1 As 2.19
S 0.1699 0.3175 0.0921  1 As 2.27
S 0.2276 0.0000 0.4891  1 As 2.18
I 0.0238 0.0000 0.7780  2 Ce 3.17-3.22, 1 S 3.19

- V: 800 Å³ per cell
- Total magnetization: 0.11 μB/f.u.
- E_form (uncorrected): -633 meV per atom



No. 6
Entry from Alexandria via LeMat-Bulk: Ce2InAs4 after structural relaxation (PBE).

Lattice parameters (Å, degrees): 4.0273 4.0273 10.5544 90.00 90.00 90.00
Closest atoms and distances in Å follow each position.
Space group P-4m2 (No. 115)
Unique sites:
Ce 0.0000 0.5000 0.2181  8 As 3.03-3.06
In 0.0000 0.0000 0.5000  4 As 2.79
As 0.0000 0.0000 0.0000  4 As 2.85, 4 Ce 3.06
As 0.0000 0.5000 0.6833  2 In 2.79, 4 Ce 3.03
As 0.5000 0.5000 0.0000  4 As 2.85, 4 Ce 3.06

- V: 171 Å³ per cell
- Calculated formation energy: -78.8 kJ per mole of atoms
- Total magnetization: 1.61 μB/f.u.